The following is a PBE with a Hubbard U calculation of crystalline DyFe4Cu3O12 at its relaxed geometry, from Alexandria via LeMat-Bulk.

Summary:
The value obtained for the total DFT energy (no corrections) is -6.286 eV per atom. As for the density: 6.2 g/cm3. The value obtained for the density of states at the Fermi level is 2.8 states/eV per cell.

Unit cell a=6.4574 b=6.4574 c=6.4574 alpha=109.47 beta=109.47 gamma=109.47
Last column: nearest neighbours and their distance in Å.
Fractional positions:
O1 0.3075 0.1643 0.4718  1 Cu 1.89, 2 Fe 2.02
O2 0.1643 0.8568 0.6925  1 Cu 1.89, 2 Fe 2.02
Cu1 0.0000 0.5000 0.5000  4 O 1.89
O3 0.8568 0.6925 0.1643  1 Cu 1.89, 2 Fe 2.02
Fe1 0.0000 0.0000 0.5000  6 O 2.02
O4 0.1432 0.3075 0.8357  1 Cu 1.89, 2 Fe 2.02
O5 0.8357 0.5282 0.6925  1 Cu 1.89, 2 Fe 2.02
O6 0.4718 0.3075 0.1643  1 Cu 1.89, 2 Fe 2.02
Fe2 0.5000 0.5000 0.5000  6 O 2.02
O7 0.1643 0.4718 0.3075  1 Cu 1.89, 2 Fe 2.02
O8 0.8357 0.1432 0.3075  1 Cu 1.89, 2 Fe 2.02
O9 0.5282 0.6925 0.8357  1 Cu 1.89, 2 Fe 2.02
Cu2 0.5000 0.5000 0.0000  4 O 1.89
O10 0.6925 0.1643 0.8568  1 Cu 1.89, 2 Fe 2.02
O11 0.3075 0.8357 0.1432  1 Cu 1.89, 2 Fe 2.02
Dy1 0.0000 0.0000 0.0000  12 O 2.60
O12 0.6925 0.8357 0.5282  1 Cu 1.89, 2 Fe 2.02
Cu3 0.5000 0.0000 0.5000  4 O 1.89
Fe3 0.0000 0.5000 0.0000  6 O 2.02
Fe4 0.5000 0.0000 0.0000  6 O 2.02